No. 1
The following is a SCAN calculation of a crystal of CaAg2Au relaxed with PBEsol, from Alexandria.

```
4
Lattice="-3.8850 -1.2938 0.6971 1.4692 -3.3702 1.9331 -0.0393 2.2151 3.8917" Properties=species:S:1:pos:R:3 pbc="T T T"
Ca -0.0197 1.1075 1.9459
Au -1.2276 -1.2244 3.2610
Ag 0.7346 -1.6851 0.9665
Ag -1.9425 -0.6469 0.3486
```

Results
- Energy of formation: -0.34 eV/atom
- E_tot: -2.6260 Ry per atom
- ρ: 9.7 Mg/m³
- V: 77.26 Å³/f.u.



No. 2
The following is a SCAN calculation of a crystal of Ca2MgTe relaxed with PBEsol, from Alexandria.

```
8
Lattice="-5.8712 3.0239 2.5485 1.8226 -6.3159 2.6263 5.2952 4.3763 1.7086" Properties=species:S:1:pos:R:3 pbc="T T T"
Ca -0.9083 -0.5202 5.4812
Ca 1.1428 0.7815 2.6958
Ca 1.6879 5.5218 3.5288
Ca 0.5708 -3.6146 2.0608
Te 2.5468 -1.7928 3.4611
Te 0.0000 0.0000 0.0000
Mg -1.3001 2.8771 3.4222
Mg -2.0243 -1.6460 2.5874
```

Results
- E_tot: -1.1687 Ry per atom
- ρ: 2.9 Mg/m³
- V: 134.52 Å³/f.u.



No. 3
The following is a SCAN calculation of a crystal of ReMo2Os relaxed with PBEsol, from Alexandria.

```
4
Lattice="4.3789 0.0000 0.0000 2.1894 3.7922 0.0000 2.1894 1.2641 3.5753" Properties=species:S:1:pos:R:3 pbc="T T T"
Mo 0.0000 0.0000 0.0000
Mo 6.5683 3.7922 2.6815
Os 4.3789 2.5281 1.7877
Re 2.1894 1.2641 0.8938
```

Results
- Energy of formation: 0.20 eV/atom
- E_tot: -3.8944 Ry per atom
- ρ: 15.9 Mg/m³
- V: 59.37 Å³/f.u.